w:
Material: MgVIO2
Method: DFT, PBE+U
State: optimized geometry

Lattice parameters (Å, degrees): 4.027 4.027 5.693 90.00 90.00 90.00
Atoms (fractional coordinates):
Mg: 0.000 0.000 0.000
V: 0.500 0.500 0.500
I: 0.000 0.000 0.500
O: 0.000 0.500 0.000
O: 0.500 0.000 0.000

---

x:
Material: MgVIO2
Method: DFT, PBE+U
State: optimized geometry

Lattice parameters (Å, degrees): 3.938 3.938 5.602 90.00 90.00 90.00
Atoms (fractional coordinates):
Mg: 0.000 0.000 0.000
V: 0.500 0.500 0.500
I: 0.500 0.500 0.000
O: 0.000 0.500 0.500
O: 0.500 0.000 0.500

---

Tell me which of them is the most stable. Sure, it is x.

---

w:
Material: MgWI2O
Method: DFT, PBE+U
State: optimized geometry

Lattice parameters (Å, degrees): 5.821 5.821 3.786 90.00 90.00 90.00
Atoms (fractional coordinates):
Mg: 0.000 0.000 0.000
W: 0.500 0.500 0.500
I: 0.000 0.500 0.000
I: 0.500 0.000 0.000
O: 0.000 0.000 0.500

---

x:
Material: MgWI2O
Method: DFT, PBE+U
State: optimized geometry

Lattice parameters (Å, degrees): 5.484 5.484 6.494 90.00 90.00 90.00
Atoms (fractional coordinates):
Mg: 0.000 0.000 0.000
W: 0.000 0.000 0.500
I: 0.000 0.500 0.000
I: 0.500 0.000 0.000
O: 0.500 0.500 0.500

---

y:
Material: MgWI2O
Method: DFT, PBE+U
State: optimized geometry

Lattice parameters (Å, degrees): 6.040 6.040 3.902 90.00 90.00 90.00
Atoms (fractional coordinates):
Mg: 0.000 0.000 0.000
W: 0.500 0.500 0.500
I: 0.000 0.500 0.500
I: 0.500 0.000 0.500
O: 0.500 0.500 0.000

---

Tell me which of them is the most stable. Sure, it is y.